(1)
Material: K4Rb2NaHg2
Method: DFT, PBE
State: optimized geometry

Unit cell a=7.3846 b=7.4670 c=9.1540 alpha=97.23 beta=97.60 gamma=102.48
Sites, in units of the cell vectors:
K1 0.0143 0.2400 0.4054
K2 0.4782 0.5698 0.7775
K3 0.5218 0.4302 0.2225
K4 0.9857 0.7600 0.5946
Rb1 0.0944 0.7871 0.1127
Rb2 0.9056 0.2129 0.8873
Na1 0.5000 0.0000 0.5000
Hg1 0.3896 0.0583 0.8575
Hg2 0.6104 0.9417 0.1425

Formation enthalpy at 0 K in eV per atom: -0.093
Volume in Å³ per cell: 482.25
Electronic total energy in eV for the cell shown: -9.1
Crystal system: triclinic

---

(2)
Material: K3RbNaHg
Method: DFT, PBE
State: optimized geometry

Unit cell a=10.4992 b=4.9388 c=13.8022 alpha=90.00 beta=109.82 gamma=90.00
Sites, in units of the cell vectors:
K1 0.0457 0.2500 0.3711
K2 0.1163 0.2500 0.9251
K3 0.3749 0.7500 0.5552
K4 0.6251 0.2500 0.4448
K5 0.8837 0.7500 0.0749
K6 0.9543 0.7500 0.6289
Rb1 0.4362 0.7500 0.8581
Rb2 0.5638 0.2500 0.1419
Na1 0.2928 0.7500 0.2294
Na2 0.7072 0.2500 0.7706
Hg1 0.2182 0.2500 0.6754
Hg2 0.7818 0.7500 0.3246

Formation enthalpy at 0 K in eV per atom: -0.054
Volume in Å³ per cell: 673.29
Electronic total energy in eV for the cell shown: -12.4
Crystal system: monoclinic

---

(3)
Material: KRbNa2Hg
Method: DFT, PBE
State: optimized geometry

Unit cell a=6.1896 b=6.1896 c=6.6414 alpha=90.00 beta=90.00 gamma=90.00
Sites, in units of the cell vectors:
K1 0.0000 0.0000 0.0000
Rb1 0.5000 0.5000 0.0000
Na1 0.0000 0.5000 0.5000
Na2 0.5000 0.0000 0.5000
Hg1 0.0000 0.0000 0.5000

E above lowest polymorph in meV/atom: 11
Formation enthalpy at 0 K in eV per atom: -0.055
Volume in Å³ per cell: 254.44
Electronic total energy in eV for the cell shown: -5.3
Crystal system: tetragonal